Entry 1:
A plane-wave DFT calculation with GGA-PBE was carried out for a relaxed TmNbSO2 crystal.

Results
Calculated total energy: -40.045 eV/cell

abc: 3.6428 3.6428 6.2310
angles: 90.00 90.00 120.00
Atoms (fractional coordinates):
Tm  0.0000  0.0000  0.0000
Nb  0.6667  0.3333  0.4421
S  0.3333  0.6667  0.6970
O  0.0000  0.0000  0.3590
O  0.6667  0.3333  0.0881

***

Entry 2:
A plane-wave DFT calculation with GGA-PBE was carried out for a relaxed TbTlCdS3 crystal.

Results
Distance to the lowest polymorph of the same formula: 1 meV per atom

abc: 7.4127 7.4127 10.7723
angles: 90.00 90.00 147.86
Atoms (fractional coordinates):
Tb  0.0000  0.0000  0.0000
Tb  0.0000  0.0000  0.5000
Tl  0.2631  0.7369  0.7500
Tl  0.7369  0.2631  0.2500
Cd  0.4514  0.5486  0.2500
Cd  0.5486  0.4514  0.7500
S  0.0633  0.9367  0.2500
S  0.3720  0.6280  0.0448
S  0.3720  0.6280  0.4552
S  0.6280  0.3720  0.5448
S  0.6280  0.3720  0.9552
S  0.9367  0.0633  0.7500

***

Entry 3:
A plane-wave DFT calculation with GGA-PBE was carried out for a relaxed TbYBPb crystal.

Results
Calculated total energy: -44.602 eV/cell

abc: 3.7040 3.7040 16.7699
angles: 90.00 90.00 120.00
Atoms (fractional coordinates):
Tb  0.0000  0.0000  0.1608
Tb  0.0000  0.0000  0.8392
Y  0.3333  0.6667  0.3403
Y  0.3333  0.6667  0.6597
B  0.6667  0.3333  0.2504
B  0.6667  0.3333  0.7496
Pb  0.0000  0.0000  0.5000
Pb  0.3333  0.6667  0.0000

***

Entry 4:
A plane-wave DFT calculation with GGA-PBE was carried out for a relaxed BeCuSnW crystal.

Results
Distance to the lowest polymorph of the same formula: 29 meV per atom

abc: 4.3581 4.3581 4.3581
angles: 60.00 60.00 60.00
Atoms (fractional coordinates):
Be  0.0000  0.0000  0.0000
Cu  0.5000  0.5000  0.5000
Sn  0.2500  0.2500  0.2500
W  0.7500  0.7500  0.7500